No. 1
VASP calculation (GGA-PBEsol) on an optimized crystal structure of Be2SiAu.

## Properties
Final energy = -4.270 eV per atom
Density of states at the Fermi level = 1.22 states/eV/f.u.
Symmetry = No. 123
Formation energy without anion corrections = 148 meV/atom

Cell lengths 3.7138, 3.7138, 3.5253 Å; angles 90.00, 90.00, 90.00 degrees
Atoms (fractional coordinates):
Be (0.0000, 0.5000, 0.0000)
Be (0.5000, 0.0000, 0.0000)
Si (0.0000, 0.0000, 0.5000)
Au (0.5000, 0.5000, 0.5000)

---

No. 2
VASP calculation (GGA-PBEsol) on an optimized crystal structure of CuAsPt2.

## Properties
Final energy = -5.917 eV per atom
Density of states at the Fermi level = 1.75 states/eV/f.u.
Symmetry = No. 6

Cell lengths 2.8011, 4.1085, 5.2994 Å; angles 90.00, 105.09, 90.00 degrees
Atoms (fractional coordinates):
Cu (0.0000, 0.0000, 0.0000)
As (0.3849, 0.5000, 0.7677)
Pt (0.2550, 0.0000, 0.5135)
Pt (0.6199, 0.5000, 0.2385)

---

- What is the formula in the second record?
  CuAsPt2

---

- Which of these has the highest final energy?
  Be2SiAu

---

Copy entry 2 word for word.
VASP calculation (GGA-PBEsol) on an optimized crystal structure of CuAsPt2.

## Properties
Final energy = -5.917 eV per atom
Density of states at the Fermi level = 1.75 states/eV/f.u.
Symmetry = No. 6

Cell lengths 2.8011, 4.1085, 5.2994 Å; angles 90.00, 105.09, 90.00 degrees
Atoms (fractional coordinates):
Cu (0.0000, 0.0000, 0.0000)
As (0.3849, 0.5000, 0.7677)
Pt (0.2550, 0.0000, 0.5135)
Pt (0.6199, 0.5000, 0.2385)

---

- Which value of final energy does entry 2 give?
  -5.917 eV per atom